# Mn3ReH | Alexandria via LeMat-Bulk | GGA-PBE | relaxed
# - ρ (g cm⁻³) = 11.7
# - DOS(E_F) (states/eV/atom) = 0.61
# - E above lowest polymorph (meV per atom) = 22
# - magnetization (μB/f.u.) = 0.00
data_Mn3ReH
_chemical_formula_sum 'Mn6 Re2 H2'
_cell_length_a 5.193
_cell_length_b 4.967
_cell_length_c 4.977
_cell_angle_alpha 63.61
_cell_angle_beta 104.79
_cell_angle_gamma 74.61
_space_group_name_H-M_alt 'P 1'
_space_group_IT_number 1
loop_
_space_group_symop_operation_xyz
'x,y,z'
loop_
_atom_site_label
_atom_site_type_symbol
_atom_site_fract_x
_atom_site_fract_y
_atom_site_fract_z
H1 H 0.064 0.632 0.402
Re1 Re 0.408 0.834 0.954
Mn1 Mn 0.408 0.325 0.465
Mn2 Mn 0.901 0.320 0.456
Mn3 Mn 0.233 0.921 0.386
Re2 Re 0.233 0.412 0.896
Mn4 Mn 0.745 0.400 0.896
Mn5 Mn 0.740 0.926 0.395
H2 H 0.577 0.614 0.448
Mn6 Mn 0.896 0.846 0.954

=====

# Mn3ReH | Alexandria via LeMat-Bulk | GGA-PBE | relaxed
# - ρ (g cm⁻³) = 10.7
# - DOS(E_F) (states/eV/atom) = 0.54
# - E above lowest polymorph (meV per atom) = 482
# - magnetization (μB/f.u.) = 0.00
data_Mn3ReH
_chemical_formula_sum 'Mn6 Re2 H2'
_cell_length_a 4.604
_cell_length_b 4.604
_cell_length_c 6.107
_cell_angle_alpha 67.85
_cell_angle_beta 67.85
_cell_angle_gamma 90.00
_space_group_name_H-M_alt 'P 1'
_space_group_IT_number 1
loop_
_space_group_symop_operation_xyz
'x,y,z'
loop_
_atom_site_label
_atom_site_type_symbol
_atom_site_fract_x
_atom_site_fract_y
_atom_site_fract_z
Mn1 Mn 0.100 0.374 0.800
Mn2 Mn 0.173 0.900 0.200
Mn3 Mn 0.297 0.297 0.407
Mn4 Mn 0.703 0.703 0.593
H1 H 0.250 0.750 0.500
Re1 Re 0.877 0.377 0.247
Mn5 Mn 0.626 0.900 0.200
Re2 Re 0.623 0.123 0.753
H2 H 0.000 0.000 0.000
Mn6 Mn 0.100 0.827 0.800

=====

# Mn3ReH | Alexandria via LeMat-Bulk | GGA-PBE | relaxed
# - ρ (g cm⁻³) = 10.9
# - DOS(E_F) (states/eV/atom) = 1.11
# - E above lowest polymorph (meV per atom) = 527
# - magnetization (μB/f.u.) = 0.00
data_Mn3ReH
_chemical_formula_sum 'Mn3 Re1 H1'
_cell_length_a 2.557
_cell_length_b 4.650
_cell_length_c 4.650
_cell_angle_alpha 76.41
_cell_angle_beta 90.00
_cell_angle_gamma 90.00
_space_group_name_H-M_alt 'P 1'
_space_group_IT_number 1
loop_
_space_group_symop_operation_xyz
'x,y,z'
loop_
_atom_site_label
_atom_site_type_symbol
_atom_site_fract_x
_atom_site_fract_y
_atom_site_fract_z
Mn1 Mn 0.000 0.234 0.766
Mn2 Mn 0.500 0.302 0.307
H1 H 0.000 0.541 0.459
Mn3 Mn 0.500 0.693 0.698
Re1 Re 0.500 0.859 0.141